1.
DFT (GGA-PBE) results for an optimized crystal structure of CuPt3Rh.

The structure in CIF format:
```
data_CuPt3Rh
_chemical_formula_sum 'Cu1 Pt3 Rh1'
_cell_length_a 4.5155
_cell_length_b 4.5155
_cell_length_c 4.5155
_cell_angle_alpha 90.00
_cell_angle_beta 90.00
_cell_angle_gamma 90.00
_space_group_name_H-M_alt 'P m -3 m'
_space_group_IT_number 221
_space_group_name_Hall '-P 4 2 3'
loop_
_atom_site_label
_atom_site_type_symbol
_atom_site_fract_x
_atom_site_fract_y
_atom_site_fract_z
_atom_site_occupancy
Cu1 Cu 0.0000 0.0000 0.0000 1
Pt1 Pt 0.0000 0.0000 0.5000 1
Rh1 Rh 0.5000 0.5000 0.5000 1
```

- magnetization (μB/cell) = 1.48
- D(E_F) (states/eV/atom) = 1.30
- DFT formation energy (eV/atom) = 1.188
- excess energy over the best structure of this formula in the dataset (eV/atom) = 1.213

2.
DFT (GGA-PBE) results for an optimized crystal structure of CuPtRh.

The structure in CIF format:
```
data_CuPtRh
_chemical_formula_sum 'Cu4 Pt4 Rh4'
_cell_length_a 7.7858
_cell_length_b 4.4918
_cell_length_c 5.3905
_cell_angle_alpha 90.00
_cell_angle_beta 109.88
_cell_angle_gamma 90.00
_space_group_name_H-M_alt 'C 1 m 1'
_space_group_IT_number 8
loop_
_space_group_symop_operation_xyz
'x,y,z'
'x,-y,z'
'x+1/2,y+1/2,z'
'x+1/2,-y+1/2,z'
loop_
_atom_site_label
_atom_site_type_symbol
_atom_site_fract_x
_atom_site_fract_y
_atom_site_fract_z
_atom_site_occupancy
Cu1 Cu 0.0000 0.0000 0.0000 1
Cu2 Cu 0.0023 0.0000 0.4947 1
Pt1 Pt 0.1264 0.5000 0.8026 1
Pt2 Pt 0.3155 0.0000 0.9057 1
Rh1 Rh 0.1335 0.5000 0.3094 1
Rh2 Rh 0.3137 0.0000 0.4004 1
```

- magnetization (μB/cell) = 0.00
- D(E_F) (states/eV/atom) = 1.36
- DFT formation energy (eV/atom) = 0.137
- excess energy over the best structure of this formula in the dataset (eV/atom) = 0.187